[1]
# Tb6PmSm2Y

A geometry-optimized Tb6PmSm2Y structure (PBE, the Alexandria database).

a = 9.054 Å, b = 15.186 Å, c = 9.732 Å
α = 90.00°, β = 98.66°, γ = 90.00°
Space group C2/c (No. 15)
Inequivalent atoms, fractional coordinates:
Tb 0.064 0.189 0.444 x8
Tb 0.105 0.396 0.621 x8
Tb 0.199 0.225 0.815 x8
Pm 0.000 0.406 0.250 x4
Sm 0.244 0.053 0.042 x8
Y 0.000 0.020 0.750 x4

DOS at the Fermi energy   14.8 states/eV/f.u.

***

[2]
# BaTa2Al

A geometry-optimized BaTa2Al structure (PBE, the Alexandria database).

a = 3.113 Å, b = 4.001 Å, c = 7.699 Å
α = 90.00°, β = 90.00°, γ = 90.00°
Space group Pmmm (No. 47)
Inequivalent atoms, fractional coordinates:
Ba 0.000 0.000 0.000 x1
Ta 0.500 0.500 0.334 x2
Al 0.000 0.000 0.500 x1

DOS at the Fermi energy   3.9 states/eV/f.u.

***

[3]
# CuHg2Ge2

A geometry-optimized CuHg2Ge2 structure (PBE, the Alexandria database).

a = 6.324 Å, b = 6.324 Å, c = 5.634 Å
α = 90.00°, β = 90.00°, γ = 90.00°
Space group P4/mbm (No. 127)
Inequivalent atoms, fractional coordinates:
Cu 0.000 0.000 0.000 x2
Hg 0.185 0.315 0.500 x4
Ge 0.147 0.353 0.000 x4

DOS at the Fermi energy   2.6 states/eV/f.u.
Offset from the most stable computed form   0 meV/atom

***

no.,formation enthalpy at 0 K (eV/atom)
1,0.118
2,0.560
3,0.177